Entry 1:
# Mg2TcSb

A relaxed Mg2TcSb crystal (PBE, the Alexandria database).

The calculation puts the uncorrected formation energy at 0.048 eV/atom.

The space group is I-4m2 (No. 119) and the conventional cell measures 4.1612, 4.1612 and 8.5880 Å, with angles of 90.00, 90.00 and 90.00 degrees. Symmetry generates all atoms from Mg at (0.0000, 0.0000, 0.0000), Mg at (0.0000, 0.5000, 0.2500), Tc at (0.0000, 0.0000, 0.5000) and Sb at (0.0000, 0.5000, 0.7500).

---

Entry 2:
# MgTcSbTe2

A relaxed MgTcSbTe2 crystal (PBE, the Alexandria database).

The calculation puts the uncorrected formation energy at 0.403 eV/atom.

The space group is P4/mmm (No. 123) and the conventional cell measures 5.3502, 5.3502 and 5.0925 Å, with angles of 90.00, 90.00 and 90.00 degrees. Symmetry generates all atoms from Mg at (0.0000, 0.0000, 0.0000), Tc at (0.5000, 0.5000, 0.5000), Sb at (0.5000, 0.5000, 0.0000) and Te at (0.0000, 0.5000, 0.5000).

---

Entry 3:
# MgTcSbTe2

A relaxed MgTcSbTe2 crystal (PBE, the Alexandria database).

The calculation puts the uncorrected formation energy at 1.066 eV/atom.

The space group is P4/mmm (No. 123) and the conventional cell measures 5.4195, 5.4195 and 5.2922 Å, with angles of 90.00, 90.00 and 90.00 degrees. Symmetry generates all atoms from Mg at (0.0000, 0.0000, 0.0000), Tc at (0.5000, 0.5000, 0.5000), Sb at (0.0000, 0.0000, 0.5000) and Te at (0.0000, 0.5000, 0.0000).

---

Entry 4:
# Mg3SbTe

A relaxed Mg3SbTe crystal (PBE, the Alexandria database).

The calculation puts the uncorrected formation energy at -0.035 eV/atom.

The space group is Pm-3m (No. 221) and the conventional cell measures 5.4221, 5.4221 and 5.4221 Å, with angles of 90.00, 90.00 and 90.00 degrees. Symmetry generates all atoms from Mg at (0.0000, 0.0000, 0.5000), Sb at (0.0000, 0.0000, 0.0000) and Te at (0.5000, 0.5000, 0.5000).

---

Entry 5:
# MgSbTe

A relaxed MgSbTe crystal (PBE, the Alexandria database).

The calculation puts the uncorrected formation energy at -0.112 eV/atom.

The space group is Fmm2 (No. 42) and the conventional cell measures 4.2269, 5.0656 and 15.9813 Å, with angles of 90.00, 90.00 and 90.00 degrees. Symmetry generates all atoms from Mg at (0.0000, 0.0000, 0.0000), Sb at (0.0000, 0.0000, 0.3642) and Te at (0.0000, 0.0000, 0.6311).

---

Entry 6:
# MgSb2Te4

A relaxed MgSb2Te4 crystal (PBE, the Alexandria database).

The calculation puts the uncorrected formation energy at -0.321 eV/atom.

The space group is R-3m (No. 166, hexagonal axes) and the conventional cell measures 4.3274, 4.3274 and 42.0200 Å, with angles of 90.00, 90.00 and 120.00 degrees. Symmetry generates all atoms from Mg at (0.0000, 0.0000, 0.0000), Sb at (0.0000, 0.0000, 0.4212), Te at (0.0000, 0.0000, 0.1278) and Te at (0.0000, 0.0000, 0.2941).

---

Entry 7:
# MgSb3Te

A relaxed MgSb3Te crystal (PBE, the Alexandria database).

The calculation puts the uncorrected formation energy at 0.556 eV/atom.

The space group is Pm-3m (No. 221) and the conventional cell measures 5.3709, 5.3709 and 5.3709 Å, with angles of 90.00, 90.00 and 90.00 degrees. Symmetry generates all atoms from Mg at (0.0000, 0.0000, 0.0000), Sb at (0.0000, 0.0000, 0.5000) and Te at (0.5000, 0.5000, 0.5000).

---

Entry 8:
# MgSbTe

A relaxed MgSbTe crystal (PBE, the Alexandria database).

The calculation puts the uncorrected formation energy at -0.094 eV/atom.

The space group is F-43m (No. 216) and the conventional cell measures 7.0768, 7.0768 and 7.0768 Å, with angles of 90.00, 90.00 and 90.00 degrees. Symmetry generates all atoms from Mg at (0.0000, 0.0000, 0.0000), Sb at (0.2500, 0.2500, 0.2500) and Te at (0.2500, 0.2500, 0.7500).

---

Entry 9:
# MgSb2Te4

A relaxed MgSb2Te4 crystal (PBE, the Alexandria database).

The calculation puts the uncorrected formation energy at -0.295 eV/atom.

The space group is C2/m (No. 12) and the conventional cell measures 15.8461, 4.3121 and 7.5822 Å, with angles of 90.00, 117.07 and 90.00 degrees. Symmetry generates all atoms from Mg at (0.0000, 0.0000, 0.0000), Sb at (0.2432, 0.5000, 0.7267), Te at (0.1195, 0.0000, 0.4522) and Te at (0.1198, 0.5000, 0.9619).

---

Entry 10:
# MgSbTe

A relaxed MgSbTe crystal (PBE, the Alexandria database).

The calculation puts the uncorrected formation energy at -0.110 eV/atom.

The space group is P3m1 (No. 156) and the conventional cell measures 4.1425, 4.1425 and 5.7423 Å, with angles of 90.00, 90.00 and 120.00 degrees. Symmetry generates all atoms from Mg at (0.0000, 0.0000, 0.0000), Sb at (0.6667, 0.3333, 0.3305) and Te at (0.3333, 0.6667, 0.7081).

---

Entry 11:
# MgSbTe

A relaxed MgSbTe crystal (PBE, the Alexandria database).

The calculation puts the uncorrected formation energy at -0.282 eV/atom.

The space group is C2/m (No. 12) and the conventional cell measures 8.2477, 4.2390 and 11.1817 Å, with angles of 90.00, 103.87 and 90.00 degrees. Symmetry generates all atoms from Mg at (0.1079, 0.0000, 0.2511), Sb at (0.2297, 0.0000, 0.9099) and Te at (0.0411, 0.5000, 0.6372).

---

Entry 12:
# MgSbTe

A relaxed MgSbTe crystal (PBE, the Alexandria database).

The calculation puts the uncorrected formation energy at -0.189 eV/atom.

The space group is I4mm (No. 107) and the conventional cell measures 3.8608, 3.8608 and 11.2575 Å, with angles of 90.00, 90.00 and 90.00 degrees. Symmetry generates all atoms from Mg at (0.0000, 0.0000, 0.0000), Sb at (0.0000, 0.0000, 0.3617) and Te at (0.0000, 0.0000, 0.6204).

---

Copy entry 3 word for word.
# MgTcSbTe2

A relaxed MgTcSbTe2 crystal (PBE, the Alexandria database).

The calculation puts the uncorrected formation energy at 1.066 eV/atom.

The space group is P4/mmm (No. 123) and the conventional cell measures 5.4195, 5.4195 and 5.2922 Å, with angles of 90.00, 90.00 and 90.00 degrees. Symmetry generates all atoms from Mg at (0.0000, 0.0000, 0.0000), Tc at (0.5000, 0.5000, 0.5000), Sb at (0.0000, 0.0000, 0.5000) and Te at (0.0000, 0.5000, 0.0000).